GGA-PBE SrCdIn2, optimized geometry; energy relative to the elements = -0.2 eV per formula unit; space-group type = R-3m, No. 166; total magnetic moment = 0.0 μB per formula unit
1.0
1.849 1.068 10.208
-1.849 1.068 10.208
0.000 -2.135 10.208
Sr Cd In
1 1 2
Direct
0.000 0.000 0.000 Sr
0.500 0.500 0.500 Cd
0.242 0.242 0.242 In
0.758 0.758 0.758 In

GGA-PBE SrCd9In2, optimized geometry; energy relative to the elements = -1.2 eV per formula unit; space-group type = I4_1/amd, No. 141; total magnetic moment = 0.0 μB per formula unit; energy relative to the lowest polymorph listed for this composition = 0 meV/atom
1.0
-6.009 6.009 4.155
6.009 -6.009 4.155
6.009 6.009 -4.155
Sr Cd In
2 18 4
Direct
0.375 0.625 0.750 Sr
0.625 0.375 0.250 Sr
0.122 0.547 0.334 Cd
0.122 0.787 0.575 Cd
0.125 0.875 0.250 Cd
0.213 0.287 0.334 Cd
0.213 0.878 0.925 Cd
0.287 0.213 0.834 Cd
0.287 0.453 0.075 Cd
0.453 0.287 0.575 Cd
0.453 0.878 0.166 Cd
0.547 0.122 0.834 Cd
0.547 0.713 0.425 Cd
0.713 0.547 0.925 Cd
0.713 0.787 0.166 Cd
0.787 0.122 0.075 Cd
0.787 0.713 0.666 Cd
0.875 0.125 0.750 Cd
0.878 0.213 0.425 Cd
0.878 0.453 0.666 Cd
0.000 0.000 0.000 In
0.000 0.000 0.500 In
0.000 0.500 0.000 In
0.500 0.000 0.500 In

GGA-PBE Sr3Cd3In2, optimized geometry; energy relative to the elements = -3.0 eV per formula unit; space-group type = Cmcm, No. 63; total magnetic moment = 0.0 μB per formula unit
1.0
2.507 -6.091 0.000
2.507 6.091 0.000
0.000 0.000 16.580
Sr Cd In
6 6 4
Direct
0.089 0.911 0.606 Sr
0.089 0.911 0.894 Sr
0.372 0.628 0.750 Sr
0.628 0.372 0.250 Sr
0.911 0.089 0.106 Sr
0.911 0.089 0.394 Sr
0.342 0.658 0.250 Cd
0.388 0.612 0.538 Cd
0.388 0.612 0.962 Cd
0.612 0.388 0.038 Cd
0.612 0.388 0.462 Cd
0.658 0.342 0.750 Cd
0.205 0.795 0.099 In
0.205 0.795 0.401 In
0.795 0.205 0.599 In
0.795 0.205 0.901 In

GGA-PBE SrCd5In2, optimized geometry; energy relative to the elements = -1.3 eV per formula unit; space-group type = Immm, No. 71; total magnetic moment = 0.0 μB per formula unit
1.0
-2.239 4.191 5.643
2.239 -4.191 5.643
2.239 4.191 -5.643
Sr Cd In
1 5 2
Direct
0.000 0.000 0.000 Sr
0.179 0.367 0.812 Cd
0.445 0.633 0.812 Cd
0.500 0.000 0.500 Cd
0.555 0.367 0.188 Cd
0.821 0.633 0.188 Cd
0.241 0.741 0.500 In
0.759 0.259 0.500 In

GGA-PBE SrCdIn2, optimized geometry; energy relative to the elements = -0.5 eV per formula unit; space-group type = C2/m, No. 12; total magnetic moment = 0.0 μB per formula unit
1.0
3.345 -5.518 0.000
3.345 5.518 0.000
-1.412 0.000 3.235
Sr Cd In
1 1 2
Direct
0.000 0.000 0.000 Sr
0.500 0.500 0.000 Cd
0.000 0.500 0.500 In
0.500 0.000 0.500 In

GGA-PBE SrCdIn3, optimized geometry; energy relative to the elements = -1.1 eV per formula unit; space-group type = Pmn2_1, No. 31; total magnetic moment = 0.0 μB per formula unit
1.0
6.447 0.000 0.000
0.000 6.803 0.000
0.000 0.000 6.787
Sr Cd In
2 2 6
Direct
0.000 0.247 0.000 Sr
0.500 0.753 0.500 Sr
0.000 0.903 0.647 Cd
0.500 0.097 0.147 Cd
0.000 0.607 0.352 In
0.250 0.249 0.495 In
0.250 0.751 0.995 In
0.500 0.393 0.852 In
0.750 0.249 0.495 In
0.750 0.751 0.995 In

GGA-PBE SrCd2In, optimized geometry; energy relative to the elements = -0.8 eV per formula unit; space-group type = Pm, No. 6; total magnetic moment = 0.0 μB per formula unit
1.0
3.702 0.000 0.000
0.000 5.075 0.000
-0.052 0.000 6.259
Sr Cd In
1 2 1
Direct
0.000 0.000 0.000 Sr
0.496 0.500 0.747 Cd
0.500 0.000 0.502 Cd
0.505 0.500 0.251 In

GGA-PBE SrCd12In4, optimized geometry; energy relative to the elements = 1.9 eV per formula unit; space-group type = Im-3, No. 204; total magnetic moment = 0.0 μB per formula unit
1.0
-5.017 5.017 5.017
5.017 -5.017 5.017
5.017 5.017 -5.017
Sr Cd In
1 12 4
Direct
0.000 0.000 0.000 Sr
0.147 0.354 0.501 Cd
0.147 0.646 0.793 Cd
0.207 0.853 0.354 Cd
0.354 0.207 0.853 Cd
0.354 0.501 0.147 Cd
0.499 0.853 0.646 Cd
0.501 0.147 0.354 Cd
0.646 0.499 0.853 Cd
0.646 0.793 0.147 Cd
0.793 0.147 0.646 Cd
0.853 0.354 0.207 Cd
0.853 0.646 0.499 Cd
0.000 0.000 0.500 In
0.000 0.500 0.000 In
0.500 0.000 0.000 In
0.500 0.500 0.500 In

GGA-PBE SrCd2In4, optimized geometry; energy relative to the elements = -1.2 eV per formula unit; space-group type = Cmmm, No. 65; total magnetic moment = 0.0 μB per formula unit; energy relative to the lowest polymorph listed for this composition = 12 meV/atom
1.0
2.412 -8.628 0.000
2.412 8.628 0.000
0.000 0.000 4.788
Sr Cd In
1 2 4
Direct
0.000 0.000 0.000 Sr
0.419 0.581 0.500 Cd
0.581 0.419 0.500 Cd
0.185 0.815 0.500 In
0.312 0.688 0.000 In
0.688 0.312 0.000 In
0.815 0.185 0.500 In

GGA-PBE Sr4CdIn3, optimized geometry; energy relative to the elements = -3.3 eV per formula unit; space-group type = P4/mmm, No. 123; total magnetic moment = 0.0 μB per formula unit
1.0
4.082 0.000 0.000
0.000 4.082 0.000
0.000 0.000 16.224
Sr Cd In
4 1 3
Direct
0.000 0.000 0.124 Sr
0.000 0.000 0.374 Sr
0.000 0.000 0.626 Sr
0.000 0.000 0.876 Sr
0.500 0.500 0.500 Cd
0.500 0.500 0.000 In
0.500 0.500 0.248 In
0.500 0.500 0.752 In

GGA-PBE SrCd2In, optimized geometry; energy relative to the elements = -1.0 eV per formula unit; space-group type = Cm, No. 8; total magnetic moment = 0.0 μB per formula unit
1.0
4.643 -2.686 0.000
4.643 2.686 0.000
-3.016 0.000 4.357
Sr Cd In
1 2 1
Direct
0.000 0.000 0.000 Sr
0.253 0.253 0.752 Cd
0.500 0.500 0.500 Cd
0.748 0.748 0.249 In

GGA-PBE SrCdIn2, optimized geometry; energy relative to the elements = -0.9 eV per formula unit; space-group type = P2/m, No. 10; total magnetic moment = 0.0 μB per formula unit
1.0
3.818 0.000 0.000
0.000 5.023 0.000
-1.040 0.000 6.190
Sr Cd In
1 1 2
Direct
0.000 0.000 0.000 Sr
0.500 0.000 0.500 Cd
0.365 0.500 0.729 In
0.635 0.500 0.271 In